DFT (GGA-PBE) results for crystalline Sb2AsPb2 at its relaxed geometry.

a = 4.1419 Å, b = 4.1419 Å, c = 17.9811 Å
α = 90.00°, β = 90.00°, γ = 90.00°
With the nearest neighbours (Å) after each atom.
Space group I4/mmm (No. 139)
Asymmetric unit:
Sb (0.0000, 0.5000, 0.2500) x4  4 Sb 2.93
As (0.0000, 0.0000, 0.0000) x2  8 Pb 3.34
Pb (0.0000, 0.0000, 0.4108) x4  1 Pb 3.21, 4 As 3.34, 4 Sb 3.56

Values from the calculation:
The total moment comes out at 0.0 μB per formula unit. Its uncorrected formation energy is 0.926 eV per formula unit.